No. 1
# PBE-GGA Pr7Nd4Hg, relaxed
data_Pr7Nd4Hg
_chemical_formula_sum 'Pr7 Nd4 Hg1'
_space_group_name_H-M_alt 'P -3 m 1'
_space_group_IT_number 164
_space_group_name_Hall '-P 3 2"'
_cell_length_a 3.7210
_cell_length_b 3.7210
_cell_length_c 35.1701
_cell_angle_alpha 90.00
_cell_angle_beta 90.00
_cell_angle_gamma 120.00
loop_
_atom_site_label
_atom_site_fract_x
_atom_site_fract_y
_atom_site_fract_z
Pr1 0.0000 0.0000 0.0000
Pr2 0.0000 0.0000 0.2575
Pr3 0.3333 0.6667 0.1714
Pr4 0.3333 0.6667 0.4283
Nd1 0.3333 0.6667 0.6565
Nd2 0.3333 0.6667 0.9143
Hg1 0.0000 0.0000 0.5000
# Volume (Å³ per cell): 421.7
# ΔE_f (eV/atom): -0.044
# Magnetization (μB per formula unit): 0.00
# Crystal system: trigonal
# E_tot (eV per atom): -4.447

No. 2
# PBE-GGA PrNd5Hg6, relaxed
data_PrNd5Hg6
_chemical_formula_sum 'Pr1 Nd5 Hg6'
_space_group_name_H-M_alt 'P 1 2/m 1'
_space_group_IT_number 10
_cell_length_a 5.426
_cell_length_b 7.709
_cell_length_c 8.569
_cell_angle_alpha 90.00
_cell_angle_beta 108.23
_cell_angle_gamma 90.00
loop_
_space_group_symop_operation_xyz
'x,y,z'
'-x,-y,-z'
'-x,y,-z'
'x,-y,z'
loop_
_atom_site_label
_atom_site_fract_x
_atom_site_fract_y
_atom_site_fract_z
Pr1 0.000 0.000 0.000
Nd1 0.000 0.500 0.000
Nd2 0.332 0.000 0.667
Nd3 0.333 0.500 0.667
Hg1 0.169 0.251 0.335
Hg2 0.500 0.252 0.000
# Volume (Å³ per cell): 340.5
# ΔE_f (eV/atom): -0.473
# Magnetization (μB per formula unit): 2.79
# Crystal system: monoclinic
# E_tot (eV per atom): -3.009

No. 3
# PBE-GGA Pr8Nd2Hg, relaxed
data_Pr8Nd2Hg
_chemical_formula_sum 'Pr16 Nd4 Hg2'
_space_group_name_H-M_alt 'C 1 2/m 1'
_space_group_IT_number 12
_cell_length_a 18.018
_cell_length_b 5.738
_cell_length_c 7.969
_cell_angle_alpha 90.00
_cell_angle_beta 110.81
_cell_angle_gamma 90.00
loop_
_space_group_symop_operation_xyz
'x,y,z'
'-x,-y,-z'
'-x,y,-z'
'x,-y,z'
'x+1/2,y+1/2,z'
'-x+1/2,-y+1/2,-z'
'-x+1/2,y+1/2,-z'
'x+1/2,-y+1/2,z'
loop_
_atom_site_label
_atom_site_fract_x
_atom_site_fract_y
_atom_site_fract_z
Pr1 0.014 0.000 0.270
Pr2 0.103 0.500 0.930
Pr3 0.165 0.500 0.431
Pr4 0.182 0.000 0.732
Nd1 0.186 0.000 0.160
Hg1 0.000 0.500 0.500
# Volume (Å³ per cell): 770.2
# ΔE_f (eV/atom): 0.009
# Magnetization (μB per formula unit): 0.00
# Crystal system: monoclinic
# E_tot (eV per atom): -4.362

No. 4
# PBE-GGA Pr4Nd3Hg, relaxed
data_Pr4Nd3Hg
_chemical_formula_sum 'Pr4 Nd3 Hg1'
_space_group_name_H-M_alt 'P 4/m m m'
_space_group_IT_number 123
_space_group_name_Hall '-P 4 2'
_cell_length_a 3.736
_cell_length_b 3.736
_cell_length_c 19.594
_cell_angle_alpha 90.00
_cell_angle_beta 90.00
_cell_angle_gamma 90.00
loop_
_atom_site_label
_atom_site_fract_x
_atom_site_fract_y
_atom_site_fract_z
Pr1 0.000 0.000 0.104
Pr2 0.000 0.000 0.368
Nd1 0.500 0.500 0.236
Nd2 0.500 0.500 0.500
Hg1 0.500 0.500 0.000
# Volume (Å³ per cell): 273.5
# ΔE_f (eV/atom): -0.107
# Magnetization (μB per formula unit): 0.00
# Crystal system: tetragonal
# E_tot (eV per atom): -4.322

No. 5
# PBE-GGA Pr3Nd3Hg2, relaxed
data_Pr3Nd3Hg2
_chemical_formula_sum 'Pr12 Nd12 Hg8'
_space_group_name_H-M_alt 'C m c m'
_space_group_IT_number 63
_space_group_name_Hall '-C 2c 2'
_cell_length_a 5.325
_cell_length_b 12.154
_cell_length_c 16.201
_cell_angle_alpha 90.00
_cell_angle_beta 90.00
_cell_angle_gamma 90.00
loop_
_atom_site_label
_atom_site_fract_x
_atom_site_fract_y
_atom_site_fract_z
Pr1 0.000 0.038 0.110
Pr2 0.000 0.287 0.250
Nd1 0.000 0.359 0.029
Nd2 0.000 0.435 0.750
Hg1 0.000 0.226 0.632
# Volume (Å³ per cell): 1048.4
# ΔE_f (eV/atom): -0.169
# Magnetization (μB per formula unit): 0.00
# Crystal system: orthorhombic
# E_tot (eV per atom): -3.825

No. 6
# PBE-GGA Pr4Nd5Hg4, relaxed
data_Pr4Nd5Hg4
_chemical_formula_sum 'Pr8 Nd10 Hg8'
_space_group_name_H-M_alt 'I 4/m'
_space_group_IT_number 87
_space_group_name_Hall '-I 4'
_cell_length_a 12.394
_cell_length_b 12.394
_cell_length_c 5.361
_cell_angle_alpha 90.00
_cell_angle_beta 90.00
_cell_angle_gamma 90.00
loop_
_atom_site_label
_atom_site_fract_x
_atom_site_fract_y
_atom_site_fract_z
Pr1 0.097 0.387 0.000
Nd1 0.000 0.000 0.000
Nd2 0.116 0.184 0.500
Hg1 0.103 0.766 0.000
# Volume (Å³ per cell): 823.5
# ΔE_f (eV/atom): -0.299
# Magnetization (μB per formula unit): 0.00
# Crystal system: tetragonal
# E_tot (eV per atom): -3.696